Record 1
The following is a PBE calculation of a relaxed structure of LiTcO, from Alexandria.

- ΔE_f (raw) (eV per atom) = -1.10
- Fermi-level density of states (states/eV/f.u.) = 1.159

Cell lengths 6.633, 6.633, 3.718 Å; angles 90.00, 90.00, 155.44 degrees
Fractional positions:
Li1 0.213 0.787 0.750
Li2 0.787 0.213 0.250
Tc1 0.444 0.556 0.750
Tc2 0.556 0.444 0.250
O1 0.176 0.824 0.250
O2 0.824 0.176 0.750

***

Record 2
The following is a PBE calculation of a relaxed structure of ScAl, from Alexandria.

- Fermi-level density of states (states/eV/f.u.) = 1.834
- formation enthalpy at 0 K (eV per atom) = -0.154

Cell lengths 8.639, 7.913, 4.991 Å; angles 80.61, 64.64, 34.75 degrees
Fractional positions:
Sc1 0.043 0.707 0.043
Sc2 0.293 0.957 0.293
Sc3 0.707 0.043 0.707
Sc4 0.957 0.293 0.957
Al1 0.292 0.292 0.458
Al2 0.458 0.458 0.292
Al3 0.542 0.542 0.708
Al4 0.708 0.708 0.542

***

Record 3
The following is a PBE calculation of a relaxed structure of InBiPd4, from Alexandria.

- Fermi-level density of states (states/eV/f.u.) = 3.001
- formation enthalpy at 0 K (eV per atom) = -0.330
- ΔE to the lowest computed polymorph (meV per atom) = 0

Cell lengths 5.055, 5.055, 7.109 Å; angles 110.79, 110.79, 40.37 degrees
Fractional positions:
In1 0.000 0.000 0.000
Bi1 0.000 0.000 0.500
Pd1 0.327 0.327 0.683
Pd2 0.340 0.340 0.151
Pd3 0.660 0.660 0.849
Pd4 0.673 0.673 0.317

***

Record 4
The following is a PBE calculation of a relaxed structure of Y3Cd5O12, from Alexandria.

- ΔE_f (raw) (eV per atom) = -1.57
- Fermi-level density of states (states/eV/f.u.) = 17.229

Cell lengths 11.473, 11.473, 11.473 Å; angles 109.47, 109.47, 109.47 degrees
Fractional positions:
Y1 0.125 0.250 0.375
Y2 0.125 0.375 0.750
Y3 0.250 0.375 0.125
Y4 0.250 0.875 0.625
Y5 0.375 0.125 0.250
Y6 0.375 0.750 0.125
Y7 0.625 0.250 0.875
Y8 0.625 0.875 0.750
Y9 0.750 0.125 0.375
Y10 0.750 0.625 0.875
Y11 0.875 0.625 0.250
Y12 0.875 0.750 0.625
Cd1 0.000 0.000 0.000
Cd2 0.000 0.000 0.500
Cd3 0.000 0.500 0.000
Cd4 0.000 0.500 0.500
Cd5 0.125 0.750 0.875
Cd6 0.125 0.875 0.250
Cd7 0.250 0.125 0.875
Cd8 0.250 0.625 0.375
Cd9 0.375 0.250 0.625
Cd10 0.375 0.625 0.750
Cd11 0.500 0.000 0.000
Cd12 0.500 0.000 0.500
Cd13 0.500 0.500 0.000
Cd14 0.500 0.500 0.500
Cd15 0.625 0.375 0.250
Cd16 0.625 0.750 0.375
Cd17 0.750 0.375 0.625
Cd18 0.750 0.875 0.125
Cd19 0.875 0.125 0.750
Cd20 0.875 0.250 0.125
O1 0.056 0.225 0.141
O2 0.056 0.331 0.915
O3 0.084 0.725 0.669
O4 0.084 0.859 0.415
O5 0.085 0.641 0.416
O6 0.085 0.944 0.669
O7 0.141 0.056 0.225
O8 0.141 0.585 0.916
O9 0.169 0.225 0.584
O10 0.169 0.444 0.585
O11 0.225 0.141 0.056
O12 0.225 0.584 0.169
O13 0.275 0.331 0.916
O14 0.275 0.444 0.359
O15 0.331 0.915 0.056
O16 0.331 0.916 0.275
O17 0.359 0.275 0.444
O18 0.359 0.584 0.915
O19 0.415 0.084 0.859
O20 0.415 0.831 0.556
O21 0.416 0.085 0.641
O22 0.416 0.831 0.775
O23 0.444 0.359 0.275
O24 0.444 0.585 0.169
O25 0.556 0.415 0.831
O26 0.556 0.641 0.725
O27 0.584 0.169 0.225
O28 0.584 0.915 0.359
O29 0.585 0.169 0.444
O30 0.585 0.916 0.141
O31 0.641 0.416 0.085
O32 0.641 0.725 0.556
O33 0.669 0.084 0.725
O34 0.669 0.085 0.944
O35 0.725 0.556 0.641
O36 0.725 0.669 0.084
O37 0.775 0.416 0.831
O38 0.775 0.859 0.944
O39 0.831 0.556 0.415
O40 0.831 0.775 0.416
O41 0.859 0.415 0.084
O42 0.859 0.944 0.775
O43 0.915 0.056 0.331
O44 0.915 0.359 0.584
O45 0.916 0.141 0.585
O46 0.916 0.275 0.331
O47 0.944 0.669 0.085
O48 0.944 0.775 0.859